Entry 1:
Compound: Cs2HoB2Se6
Source: Alexandria
Functional: PBE-GGA
Structure: relaxed

## Properties
For the formation energy from raw total energies, the calculation gives -75.0 kJ per mole of atoms. Its total energy is -49.10 eV for the cell shown.

abc: 7.121 7.121 9.211
angles: 112.73 112.73 59.96
Fractional positions:
Cs 0.211 0.211 0.135
Cs 0.789 0.789 0.865
Ho 0.000 0.000 0.500
B 0.402 0.402 0.705
B 0.598 0.598 0.295
Se 0.251 0.251 0.725
Se 0.252 0.726 0.727
Se 0.274 0.748 0.273
Se 0.726 0.252 0.727
Se 0.748 0.274 0.273
Se 0.749 0.749 0.275



Entry 2:
Compound: PmPr14Dy
Source: Alexandria
Functional: PBE-GGA
Structure: relaxed

## Properties
Its formation energy is 12 meV per atom. Its total energy is -76.07 eV for the cell shown.

abc: 7.392 7.392 10.481
angles: 90.00 90.00 90.00
Fractional positions:
Pm 0.000 0.000 0.000
Pr 0.000 0.000 0.500
Pr 0.000 0.500 0.000
Pr 0.000 0.500 0.500
Pr 0.251 0.251 0.248
Pr 0.251 0.251 0.752
Pr 0.251 0.749 0.248
Pr 0.251 0.749 0.752
Pr 0.500 0.000 0.000
Pr 0.500 0.000 0.500
Pr 0.500 0.500 0.500
Pr 0.749 0.251 0.248
Pr 0.749 0.251 0.752
Pr 0.749 0.749 0.248
Pr 0.749 0.749 0.752
Dy 0.500 0.500 0.000



Entry 3:
Compound: Li2NdGa4Ru
Source: Alexandria
Functional: PBE-GGA
Structure: relaxed

## Properties
Its formation energy is -388 meV per atom. Its total energy is -33.09 eV for the cell shown.

abc: 9.390 9.390 9.390
angles: 26.20 26.20 26.20
Fractional positions:
Li 0.229 0.229 0.229
Li 0.771 0.771 0.771
Nd 0.000 0.000 0.000
Ga 0.131 0.131 0.131
Ga 0.405 0.405 0.405
Ga 0.595 0.595 0.595
Ga 0.869 0.869 0.869
Ru 0.500 0.500 0.500



Entry 4:
Compound: BeCdNi2
Source: Alexandria
Functional: PBE-GGA
Structure: relaxed

## Properties
Its formation energy is 34 meV per atom. Its total energy is -32.13 eV for the cell shown.

abc: 9.099 2.834 4.309
angles: 90.00 118.09 90.00
Fractional positions:
Be 0.000 0.000 0.000
Be 0.500 0.500 0.000
Cd 0.000 0.500 0.500
Cd 0.500 0.000 0.500
Ni 0.213 0.500 0.213
Ni 0.287 0.000 0.787
Ni 0.713 0.000 0.213
Ni 0.787 0.500 0.787



Entry 5:
Compound: LaMoN3
Source: Alexandria
Functional: PBE-GGA
Structure: relaxed

## Properties
For the formation energy from raw total energies, the calculation gives -42.8 kJ per mole of atoms. Its total energy is -85.91 eV for the cell shown.

abc: 3.992 4.660 7.922
angles: 90.00 104.53 90.00
Fractional positions:
La 0.136 0.250 0.272
La 0.864 0.750 0.728
Mo 0.450 0.250 0.897
Mo 0.550 0.750 0.103
N 0.053 0.750 0.105
N 0.314 0.113 0.629
N 0.314 0.387 0.629
N 0.686 0.613 0.371
N 0.686 0.887 0.371
N 0.947 0.250 0.895



Entry 6:
Compound: ErNp5As6
Source: Alexandria
Functional: PBE-GGA
Structure: relaxed

## Properties
Its formation energy is -823 meV per atom. Its total energy is -107.04 eV for the cell shown.

abc: 7.105 7.105 7.109
angles: 99.60 99.60 120.01
Fractional positions:
Er 0.000 0.000 0.000
Np 0.166 0.834 0.500
Np 0.333 0.667 0.000
Np 0.500 0.500 0.500
Np 0.667 0.333 0.000
Np 0.834 0.166 0.500
As 0.083 0.417 0.249
As 0.250 0.250 0.750
As 0.417 0.083 0.249
As 0.583 0.917 0.751
As 0.750 0.750 0.250
As 0.917 0.583 0.751



Entry 7:
Compound: Ti2Bi2O7
Source: Alexandria
Functional: PBE-GGA
Structure: relaxed

## Properties
For the formation energy from raw total energies, the calculation gives -211.5 kJ per mole of atoms. Its total energy is -164.74 eV for the cell shown.

abc: 7.359 7.359 7.359
angles: 60.00 60.00 60.00
Fractional positions:
Ti 0.000 0.000 0.000
Ti 0.000 0.000 0.500
Ti 0.000 0.500 0.000
Ti 0.500 0.000 0.000
Bi 0.000 0.500 0.500
Bi 0.500 0.000 0.500
Bi 0.500 0.500 0.000
Bi 0.500 0.500 0.500
O 0.074 0.074 0.676
O 0.074 0.676 0.074
O 0.074 0.676 0.676
O 0.324 0.324 0.926
O 0.324 0.926 0.324
O 0.324 0.926 0.926
O 0.375 0.375 0.375
O 0.625 0.625 0.625
O 0.676 0.074 0.074
O 0.676 0.074 0.676
O 0.676 0.676 0.074
O 0.926 0.324 0.324
O 0.926 0.324 0.926
O 0.926 0.926 0.324



Entry 8:
Compound: Li2ZrSb
Source: Alexandria
Functional: PBE-GGA
Structure: relaxed

## Properties
For the formation energy from raw total energies, the calculation gives -18.9 kJ per mole of atoms. Its total energy is -34.56 eV for the cell shown.

abc: 4.082 4.121 10.086
angles: 90.00 90.00 90.00
Fractional positions:
Li 0.000 0.000 0.249
Li 0.000 0.000 0.751
Li 0.500 0.500 0.251
Li 0.500 0.500 0.749
Zr 0.000 0.500 0.000
Zr 0.500 0.000 0.500
Sb 0.000 0.500 0.500
Sb 0.500 0.000 0.000



Entry 9:
Compound: Sb2SeICl
Source: Alexandria
Functional: PBE-GGA
Structure: relaxed

## Properties
For the formation energy from raw total energies, the calculation gives 48.9 kJ per mole of atoms. Its total energy is -12.59 eV for the cell shown.

abc: 5.515 5.515 5.764
angles: 90.00 90.00 90.00
Fractional positions:
Sb 0.000 0.500 0.000
Sb 0.500 0.000 0.000
Se 0.000 0.000 0.000
I 0.000 0.000 0.500
Cl 0.500 0.500 0.500



Entry 10:
Compound: SrNi2As2
Source: Alexandria
Functional: PBE-GGA
Structure: relaxed

## Properties
Its formation energy is -669 meV per atom. Its total energy is -51.78 eV for the cell shown.

abc: 5.773 6.044 5.969
angles: 90.00 118.08 90.00
Fractional positions:
Sr 0.000 0.000 0.000
Sr 0.500 0.500 0.000
Ni 0.000 0.221 0.500
Ni 0.000 0.779 0.500
Ni 0.500 0.279 0.500
Ni 0.500 0.721 0.500
As 0.122 0.500 0.288
As 0.378 0.000 0.712
As 0.622 0.000 0.288
As 0.878 0.500 0.712



Entry 11:
Compound: K2Na17Hg3
Source: Alexandria
Functional: PBE-GGA
Structure: relaxed

## Properties
Its formation energy is -19 meV per atom. Its total energy is -25.95 eV for the cell shown.

abc: 9.578 9.578 9.578
angles: 83.32 83.32 83.32
Fractional positions:
K 0.161 0.161 0.161
K 0.839 0.839 0.839
Na 0.000 0.500 0.500
Na 0.163 0.163 0.676
Na 0.163 0.676 0.163
Na 0.236 0.500 0.764
Na 0.236 0.764 0.500
Na 0.324 0.837 0.837
Na 0.397 0.397 0.397
Na 0.500 0.000 0.500
Na 0.500 0.236 0.764
Na 0.500 0.500 0.000
Na 0.500 0.764 0.236
Na 0.603 0.603 0.603
Na 0.676 0.163 0.163
Na 0.764 0.236 0.500
Na 0.764 0.500 0.236
Na 0.837 0.324 0.837
Na 0.837 0.837 0.324
Hg 0.000 0.000 0.500
Hg 0.000 0.500 0.000
Hg 0.500 0.000 0.000



Entry 12:
Compound: FeIr3Cl
Source: Alexandria
Functional: PBE-GGA
Structure: relaxed

## Properties
For the formation energy from raw total energies, the calculation gives 172.5 kJ per mole of atoms. Its total energy is -27.95 eV for the cell shown.

abc: 4.516 4.516 4.516
angles: 90.00 90.00 90.00
Fractional positions:
Fe 0.000 0.000 0.000
Ir 0.000 0.000 0.500
Ir 0.000 0.500 0.000
Ir 0.500 0.000 0.000
Cl 0.500 0.500 0.500



Entry 13:
Compound: Pr2YTh3Te6
Source: Alexandria
Functional: PBE-GGA
Structure: relaxed

## Properties
For the formation energy from raw total energies, the calculation gives -114.6 kJ per mole of atoms. Its total energy is -71.38 eV for the cell shown.

abc: 10.190 10.190 9.128
angles: 107.51 107.51 24.85
Fractional positions:
Pr 0.167 0.167 0.334
Pr 0.833 0.833 0.666
Y 0.500 0.500 0.000
Th 0.171 0.171 0.838
Th 0.500 0.500 0.500
Th 0.829 0.829 0.162
Te 0.002 0.002 0.759
Te 0.333 0.333 0.415
Te 0.339 0.339 0.919
Te 0.661 0.661 0.081
Te 0.667 0.667 0.585
Te 0.998 0.998 0.241



Entry 14:
Compound: AcDy6Ho2
Source: Alexandria
Functional: PBE-GGA
Structure: relaxed

## Properties
Its formation energy is 78 meV per atom. Its total energy is -40.17 eV for the cell shown.

abc: 3.617 3.617 26.380
angles: 90.00 90.00 120.00
Fractional positions:
Ac 0.000 0.000 0.000
Dy 0.000 0.000 0.224
Dy 0.000 0.000 0.436
Dy 0.000 0.000 0.564
Dy 0.000 0.000 0.776
Dy 0.333 0.667 0.118
Dy 0.333 0.667 0.882
Ho 0.333 0.667 0.332
Ho 0.333 0.667 0.668



Entry 15:
Compound: ZnGaPt2
Source: Alexandria
Functional: PBE-GGA
Structure: relaxed

## Properties
Its formation energy is -288 meV per atom. Its total energy is -70.14 eV for the cell shown.

abc: 6.886 6.886 5.571
angles: 90.00 90.00 90.00
Fractional positions:
Zn 0.000 0.000 0.000
Zn 0.000 0.500 0.250
Zn 0.500 0.000 0.750
Zn 0.500 0.500 0.500
Ga 0.000 0.000 0.500
Ga 0.000 0.500 0.750
Ga 0.500 0.000 0.250
Ga 0.500 0.500 0.000
Pt 0.240 0.750 0.625
Pt 0.250 0.240 0.375
Pt 0.250 0.260 0.875
Pt 0.260 0.750 0.125
Pt 0.740 0.250 0.125
Pt 0.750 0.740 0.875
Pt 0.750 0.760 0.375
Pt 0.760 0.250 0.625



Entry 16:
Compound: Sr2GaAu
Source: Alexandria
Functional: PBE-GGA
Structure: relaxed

## Properties
Its formation energy is -566 meV per atom. Its total energy is -23.86 eV for the cell shown.

abc: 4.615 4.680 11.540
angles: 90.00 90.00 90.00
Fractional positions:
Sr 0.000 0.000 0.000
Sr 0.000 0.500 0.500
Sr 0.500 0.000 0.287
Sr 0.500 0.500 0.787
Ga 0.500 0.000 0.585
Ga 0.500 0.500 0.085
Au 0.000 0.000 0.705
Au 0.000 0.500 0.205



Entry 17:
Compound: SbP2Ir
Source: Alexandria
Functional: PBE-GGA
Structure: relaxed

## Properties
For the formation energy from raw total energies, the calculation gives 5.3 kJ per mole of atoms. Its total energy is -23.58 eV for the cell shown.

abc: 4.283 4.094 4.877
angles: 90.00 95.82 90.00
Fractional positions:
Sb 0.000 0.000 0.000
P 0.499 0.000 0.660
P 0.738 0.500 0.478
Ir 0.227 0.500 0.702



Entry 18:
Compound: CaWSe2Br
Source: Alexandria
Functional: PBE-GGA
Structure: relaxed

## Properties
For the formation energy from raw total energies, the calculation gives -33.4 kJ per mole of atoms. Its total energy is -25.33 eV for the cell shown.

abc: 4.911 4.911 5.447
angles: 90.00 90.00 90.00
Fractional positions:
Ca 0.000 0.000 0.000
W 0.500 0.500 0.500
Se 0.000 0.500 0.500
Se 0.500 0.000 0.500
Br 0.500 0.500 0.000



Entry 19:
Compound: Ce5Cd
Source: Alexandria
Functional: PBE-GGA
Structure: relaxed

## Properties
Its formation energy is 9 meV per atom. Its total energy is -61.06 eV for the cell shown.

abc: 5.554 17.135 3.239
angles: 90.00 90.00 90.00
Fractional positions:
Ce 0.000 0.000 0.000
Ce 0.000 0.153 0.500
Ce 0.000 0.330 0.000
Ce 0.000 0.670 0.000
Ce 0.000 0.847 0.500
Ce 0.500 0.170 0.000
Ce 0.500 0.347 0.500
Ce 0.500 0.500 0.000
Ce 0.500 0.653 0.500
Ce 0.500 0.830 0.000
Cd 0.000 0.500 0.500
Cd 0.500 0.000 0.500



Entry 20:
Compound: Pm4SiSBr2
Source: Alexandria
Functional: PBE-GGA
Structure: relaxed

## Properties
For the formation energy from raw total energies, the calculation gives -131.3 kJ per mole of atoms. Its total energy is -42.78 eV for the cell shown.

abc: 7.131 4.188 7.669
angles: 90.00 108.71 90.00
Fractional positions:
Pm 0.229 0.000 0.200
Pm 0.259 0.500 0.795
Pm 0.741 0.500 0.205
Pm 0.771 0.000 0.800
Si 0.500 0.000 0.000
S 0.000 0.500 0.000
Br 0.000 0.000 0.500
Br 0.500 0.500 0.500